First-principles (GGA-PBE) data for a relaxed Hf2TaHRh crystal, as listed in the Alexandria database.

a = 4.601 Å, b = 4.601 Å, c = 3.631 Å
α = 90.00°, β = 90.00°, γ = 90.00°
Positions (direct):
Hf: 0.000 0.500 0.000
Hf: 0.500 0.000 0.000
Ta: 0.000 0.000 0.500
H: 0.000 0.000 0.000
Rh: 0.500 0.500 0.500

As for the relative energy among the computed polymorphs: 0 meV per atom. As for the symmetry: No. 123. The value obtained for the density of states at the Fermi level is 3.69 states/eV/f.u.



First-principles (GGA-PBE) data for a relaxed BAs2PSe crystal, as listed in the Alexandria database.

a = 4.428 Å, b = 4.428 Å, c = 4.333 Å
α = 90.00°, β = 90.00°, γ = 90.00°
Positions (direct):
B: 0.000 0.000 0.000
As: 0.000 0.500 0.000
As: 0.500 0.000 0.000
P: 0.500 0.500 0.500
Se: 0.000 0.000 0.500

As for the relative energy among the computed polymorphs: 0 meV per atom. As for the symmetry: No. 123. The value obtained for the density of states at the Fermi level is 2.86 states/eV/f.u. As for the formation energy from raw total energies: 0.917 eV per atom.



First-principles (GGA-PBE) data for a relaxed SrLiBe2Co crystal, as listed in the Alexandria database.

a = 4.261 Å, b = 4.261 Å, c = 4.648 Å
α = 90.00°, β = 90.00°, γ = 90.00°
Positions (direct):
Sr: 0.000 0.000 0.000
Li: 0.500 0.500 0.000
Be: 0.000 0.500 0.500
Be: 0.500 0.000 0.500
Co: 0.500 0.500 0.500

As for the symmetry: No. 123. The value obtained for the density of states at the Fermi level is 2.18 states/eV/f.u. The formation energy is 0.262 eV/atom.



First-principles (GGA-PBE) data for a relaxed YMnPb4 crystal, as listed in the Alexandria database.

a = 6.375 Å, b = 6.375 Å, c = 6.375 Å
α = 60.00°, β = 60.00°, γ = 60.00°
Positions (direct):
Y: 0.000 0.000 0.000
Mn: 0.750 0.750 0.750
Pb: 0.375 0.375 0.375
Pb: 0.375 0.375 0.876
Pb: 0.375 0.876 0.375
Pb: 0.876 0.375 0.375

As for the symmetry: No. 216. The value obtained for the density of states at the Fermi level is 4.02 states/eV/f.u. The formation energy is 0.339 eV/atom.



First-principles (GGA-PBE) data for a relaxed Cr2Cd crystal, as listed in the Alexandria database.

a = 4.973 Å, b = 4.973 Å, c = 4.973 Å
α = 60.00°, β = 60.00°, γ = 60.00°
Positions (direct):
Cr: 0.000 0.000 0.000
Cr: 0.000 0.000 0.500
Cr: 0.000 0.500 0.000
Cr: 0.500 0.000 0.000
Cd: 0.375 0.375 0.375
Cd: 0.625 0.625 0.625

As for the symmetry: No. 227. The value obtained for the density of states at the Fermi level is 4.08 states/eV/f.u. The formation energy is 0.542 eV/atom.



First-principles (GGA-PBE) data for a relaxed Na2PmYSe4 crystal, as listed in the Alexandria database.

a = 7.278 Å, b = 4.203 Å, c = 7.420 Å
α = 90.00°, β = 109.07°, γ = 90.00°
Positions (direct):
Na: 0.000 0.000 0.000
Na: 0.500 0.500 0.000
Pm: 0.000 0.500 0.500
Y: 0.500 0.000 0.500
Se: 0.250 0.000 0.734
Se: 0.262 0.500 0.269
Se: 0.738 0.500 0.731
Se: 0.750 0.000 0.266

As for the symmetry: No. 10. The value obtained for the density of states at the Fermi level is 0.00 states/eV/f.u. As for the formation energy from raw total energies: -1.702 eV per atom.